An optimized crystal structure of CdCoAs2O6. Source: Alexandria, functional PBE with a Hubbard U.

Unit cell a=6.9015 b=6.7457 c=6.7457 alpha=76.38 beta=69.01 gamma=69.01
With the nearest neighbours (Å) after each atom.
Fractional coordinates of all 20 atoms:
As 0.1874 0.3477 0.2565  4 O 1.77-1.98
As 0.3126 0.7435 0.6523  4 O 1.77-1.98
As 0.8126 0.6523 0.7435  4 O 1.77-1.98
As 0.6874 0.2565 0.3477  4 O 1.77-1.98
O 0.8055 0.0390 0.1959  1 As 1.77
O 0.5723 0.1544 0.6158  1 As 1.78
O 0.9277 0.3842 0.8456  1 As 1.78
O 0.0723 0.6158 0.1544  1 As 1.78
O 0.5604 0.5925 0.7236  2 As 1.82-1.98
O 0.4396 0.4075 0.2764  2 As 1.82-1.98
O 0.4277 0.8456 0.3842  1 As 1.78
O 0.3055 0.1959 0.0390  1 As 1.77
O 0.1945 0.9610 0.8041  1 As 1.77
O 0.9396 0.2764 0.4075  2 As 1.82-1.98
O 0.6945 0.8041 0.9610  1 As 1.77
O 0.0604 0.7236 0.5925  2 As 1.82-1.98
Co 0.2500 0.2481 0.7519  4 O 2.00-2.03
Co 0.7500 0.7519 0.2481  4 O 2.00-2.03
Cd 0.7500 0.1490 0.8510  4 O 2.31-2.39
Cd 0.2500 0.8510 0.1490  4 O 2.31-2.39

Calculated values
- total magnetic moment (μB per formula unit) = 2.69
- DFT total energy (eV per atom) = -5.520
- crystal system = monoclinic